[1]
Compound: YHfSb2O
Source: the Alexandria database
Functional: PBE-GGA
Structure: optimized geometry

Values from the calculation:
SG: No. 129
Formation energy from raw total energies (eV per atom): -1.409
Theoretical density (Mg/m³): 7.104

Cell lengths 3.945, 3.945, 15.833 Å; angles 90.00, 90.00, 90.00 degrees
Element x y z (fractional)
Hf 0.000 0.500 0.883
Hf 0.500 0.000 0.117
Sb 0.000 0.500 0.704
Sb 0.500 0.000 0.296
Sb 0.000 0.500 0.079
Sb 0.500 0.000 0.921
Y 0.000 0.500 0.431
Y 0.500 0.000 0.569
O 0.500 0.500 0.500
O 0.000 0.000 0.500

***

[2]
Compound: YHfSbO6
Source: the Alexandria database
Functional: PBE-GGA
Structure: optimized geometry

Values from the calculation:
SG: No. 163
Formation energy from raw total energies (eV per atom): -2.725
Theoretical density (Mg/m³): 6.593

Cell lengths 5.379, 5.379, 9.753 Å; angles 90.00, 90.00, 120.00 degrees
Element x y z (fractional)
O 0.638 0.989 0.863
O 0.362 0.011 0.137
O 0.350 0.362 0.863
O 0.350 0.989 0.637
O 0.011 0.362 0.637
O 0.650 0.638 0.137
O 0.362 0.350 0.363
O 0.989 0.350 0.137
O 0.011 0.650 0.863
O 0.989 0.638 0.363
O 0.650 0.011 0.363
O 0.638 0.650 0.637
Sb 0.667 0.333 0.250
Sb 0.333 0.667 0.750
Y 0.000 0.000 0.000
Y 0.000 0.000 0.500
Hf 0.667 0.333 0.750
Hf 0.333 0.667 0.250

***

[3]
Compound: Hf3ScO
Source: the Alexandria database
Functional: PBE-GGA
Structure: optimized geometry

Values from the calculation:
SG: No. 221
Formation energy from raw total energies (eV per atom): -1.011
Theoretical density (Mg/m³): 10.748

Cell lengths 4.517, 4.517, 4.517 Å; angles 90.00, 90.00, 90.00 degrees
Element x y z (fractional)
O 0.000 0.000 0.000
Sc 0.500 0.500 0.500
Hf 0.500 0.000 0.000
Hf 0.000 0.000 0.500
Hf 0.000 0.500 0.000

***

[4]
Compound: HfSc3O
Source: the Alexandria database
Functional: PBE-GGA
Structure: optimized geometry

Values from the calculation:
SG: No. 221
Formation energy from raw total energies (eV per atom): 1.138
Theoretical density (Mg/m³): 4.027

Cell lengths 5.140, 5.140, 5.140 Å; angles 90.00, 90.00, 90.00 degrees
Element x y z (fractional)
Hf 0.000 0.000 0.000
Sc 0.000 0.000 0.500
Sc 0.000 0.500 0.000
Sc 0.500 0.000 0.000
O 0.500 0.500 0.500

***

[5]
Compound: HfSc3O
Source: the Alexandria database
Functional: PBE-GGA
Structure: optimized geometry

Values from the calculation:
SG: No. 221
Formation energy from raw total energies (eV per atom): -1.072
Theoretical density (Mg/m³): 5.929

Cell lengths 4.518, 4.518, 4.518 Å; angles 90.00, 90.00, 90.00 degrees
Element x y z (fractional)
Hf 0.500 0.500 0.500
Sc 0.000 0.500 0.000
Sc 0.000 0.000 0.500
Sc 0.500 0.000 0.000
O 0.000 0.000 0.000

***

[6]
Compound: Hf3ScO
Source: the Alexandria database
Functional: PBE-GGA
Structure: optimized geometry

Values from the calculation:
SG: No. 221
Formation energy from raw total energies (eV per atom): 1.639
Theoretical density (Mg/m³): 8.082

Cell lengths 4.967, 4.967, 4.967 Å; angles 90.00, 90.00, 90.00 degrees
Element x y z (fractional)
Sc 0.000 0.000 0.000
Hf 0.000 0.500 0.000
Hf 0.000 0.000 0.500
Hf 0.500 0.000 0.000
O 0.500 0.500 0.500

***

What did the third record say?
Compound: Hf3ScO
Source: the Alexandria database
Functional: PBE-GGA
Structure: optimized geometry

Values from the calculation:
SG: No. 221
Formation energy from raw total energies (eV per atom): -1.011
Theoretical density (Mg/m³): 10.748

Cell lengths 4.517, 4.517, 4.517 Å; angles 90.00, 90.00, 90.00 degrees
Element x y z (fractional)
O 0.000 0.000 0.000
Sc 0.500 0.500 0.500
Hf 0.500 0.000 0.000
Hf 0.000 0.000 0.500
Hf 0.000 0.500 0.000